Here is an optimized crystal structure of TaInFeIr from OQMD via LeMat-Bulk. Energies are from PBE.

Theoretical density in kg/m³: 14987
E above lowest polymorph in kJ per mole of atoms: 0.0

Cell: 4.400 4.400 4.400 Å, 60.00 60.00 60.00°
Element x y z (fractional)
Fe 0.750 0.750 0.750
Ta 0.500 0.500 0.500
Ir 0.250 0.250 0.250
In 0.000 0.000 0.000